[1]
ClO2F6 | PBE | optimized geometry

It has space group P-1 (No. 2), with a = 3.692 Å, b = 8.585 Å, c = 9.067 Å, α = 93.74°, β = 93.39° and γ = 100.84°. The distinct sites, in fractional coordinates, are Cl at (0.148, 0.265, 0.145), O at (0.144, 0.789, 0.349), O at (0.387, 0.811, 0.266), F at (0.054, 0.581, 0.782), F at (0.151, 0.138, 0.360), F at (0.155, 0.349, 0.985), F at (0.349, 0.117, 0.060), F at (0.353, 0.876, 0.627) and F at (0.432, 0.417, 0.481).

The theoretical density is 2.15 g/cm³. The density of states at the Fermi level is 6.0 states/eV/f.u. The calculation puts the uncorrected formation energy at -270 meV per atom.

---

[2]
ScTa2Hg | PBE | optimized geometry

It has space group P4/mmm (No. 123), with a = 4.063 Å, b = 4.063 Å, c = 4.704 Å, α = 90.00°, β = 90.00° and γ = 90.00°. The distinct sites, in fractional coordinates, are Sc at (0.000, 0.000, 0.000), Ta at (0.000, 0.500, 0.500) and Hg at (0.500, 0.500, 0.000).

For the formation energy, the calculation gives 0.16 eV/atom. The theoretical density is 12.99 g/cm³. The density of states at the Fermi level is 3.8 states/eV/f.u.

---

The lowest density of states at the Fermi level belongs to which entry?
ScTa2Hg

---

Which formula does entry 1 have?
ClO2F6

---

Which formula does entry 1 have?
ClO2F6

---

Look up the density of states at the Fermi level of the second one.
3.8 states/eV/f.u.